(1)
{"formula": "Zn2MoSe", "functional": "PBE-GGA", "state": "relaxed", "cell": [[-0.684, -2.498, -0.979], [1.320, -1.193, 2.122], [-7.684, 0.187, 4.888]], "species": ["Mo", "Zn", "Zn", "Se"], "frac_coords": [[0.500, 0.500, 0.250], [0.000, 0.000, 0.036], [0.000, 0.000, 0.464], [0.500, 0.500, 0.750]], "rho_g_cm3": 7.27, "m_tot_mub_per_cell": 0.0, "e_form_raw_ev_per_atom": 0.240, "volume_a3_per_cell": 70}

(2)
{"formula": "Zn2MoSe", "functional": "PBE-GGA", "state": "relaxed", "cell": [[4.527, 0.000, 0.000], [0.000, 2.981, -0.038], [0.000, 0.067, 4.861]], "species": ["Zn", "Mo", "Se", "Zn"], "frac_coords": [[0.000, 0.125, 0.992], [0.000, 0.625, 0.491], [0.500, 0.624, 0.737], [0.500, 0.126, 0.280]], "rho_g_cm3": 7.74, "m_tot_mub_per_cell": 0.0, "e_form_raw_ev_per_atom": 0.164, "volume_a3_per_cell": 66}

(3)
{"formula": "ZnMo2Se4", "functional": "PBE-GGA", "state": "relaxed", "cell": [[-2.952, 0.059, -1.497], [2.330, -2.120, -1.018], [-5.717, -11.480, 10.824]], "species": ["Se", "Se", "Se", "Se", "Zn", "Mo", "Mo"], "frac_coords": [[0.000, 0.000, 0.121], [0.000, 0.000, 0.321], [0.667, 0.333, 0.893], [0.667, 0.333, 0.692], [0.000, 0.000, 0.516], [0.000, 0.000, 0.793], [0.667, 0.333, 0.221]], "rho_g_cm3": 5.98, "m_tot_mub_per_cell": 0.0, "e_form_raw_ev_per_atom": -0.481, "volume_a3_per_cell": 159}

(4)
{"formula": "Zn2MoSe", "functional": "PBE-GGA", "state": "relaxed", "cell": [[-5.849, -2.628, -0.290], [-2.706, -4.659, 3.490], [2.878, 5.700, -0.659]], "species": ["Se", "Zn", "Mo", "Zn"], "frac_coords": [[0.315, 0.815, 0.500], [0.030, 0.030, 0.000], [0.481, 0.481, 0.000], [0.674, 0.174, 0.500]], "rho_g_cm3": 6.57, "m_tot_mub_per_cell": 0.0, "e_form_raw_ev_per_atom": 0.124, "volume_a3_per_cell": 77}

(5)
{"formula": "ZnMoSe", "functional": "PBE-GGA", "state": "relaxed", "cell": [[4.241, 0.000, 0.000], [2.121, 3.673, 0.000], [2.121, 1.224, 3.463]], "species": ["Zn", "Mo", "Se"], "frac_coords": [[0.000, 0.000, 0.000], [0.500, 0.500, 0.500], [0.750, 0.750, 0.750]], "rho_g_cm3": 7.40, "m_tot_mub_per_cell": 0.0, "e_form_raw_ev_per_atom": 0.515, "volume_a3_per_cell": 54, "e_above_lowest_polymorph_mev_per_atom": 596}

(6)
{"formula": "Zn2MoSe", "functional": "PBE-GGA", "state": "relaxed", "cell": [[5.193, 0.000, 0.000], [0.000, 2.947, -0.020], [0.000, -0.173, 4.335]], "species": ["Zn", "Mo", "Zn", "Se"], "frac_coords": [[0.000, 0.504, 0.493], [0.500, 0.250, 0.250], [0.000, 0.996, 0.007], [0.500, 0.750, 0.750]], "rho_g_cm3": 7.66, "m_tot_mub_per_cell": 0.0, "e_form_raw_ev_per_atom": 0.316, "volume_a3_per_cell": 66}